SmTmNi4 | PBE | relaxed

The space group is P6/mmm (No. 191) and the conventional cell measures 5.3826, 5.3826 and 7.9919 Å, with angles of 90.00, 90.00 and 120.00 degrees. Symmetry generates all atoms from Sm at (0.0000, 0.0000, 0.0000), Sm at (0.0000, 0.0000, 0.5000), Tm at (0.3333, 0.6667, 0.0000), Ni at (0.0000, 0.5000, 0.2702) and Ni at (0.3333, 0.6667, 0.5000).

The excess energy over the best structure of this formula in the dataset comes out at 34.7 kJ/mol of atoms. Its crystal system is hexagonal. The total energy comes out at -5.3155 eV per atom. Its magnetic moment is 0.01 μB per formula unit.

SmTmNi4 | PBE | relaxed

The space group is F-43m (No. 216) and the conventional cell measures 7.173, 7.173 and 7.173 Å, with angles of 90.00, 90.00 and 90.00 degrees. Symmetry generates all atoms from Sm at (0.000, 0.000, 0.000), Tm at (0.250, 0.250, 0.750) and Ni at (0.124, 0.124, 0.376).

The excess energy over the best structure of this formula in the dataset comes out at 0.0 kJ/mol of atoms. Its crystal system is cubic. The total energy comes out at -5.6747 eV per atom. Its magnetic moment is 0.00 μB per formula unit.

SmTm2Ni9 | PBE | relaxed

The space group is R-3m (No. 166, hexagonal axes) and the conventional cell measures 4.9586, 4.9586 and 24.2197 Å, with angles of 90.00, 90.00 and 120.00 degrees. Symmetry generates all atoms from Sm at (0.0000, 0.0000, 0.0000), Tm at (0.0000, 0.0000, 0.1397), Ni at (0.0000, 0.0000, 0.3332), Ni at (0.0000, 0.0000, 0.5000) and Ni at (0.0014, 0.5007, 0.9167).

The excess energy over the best structure of this formula in the dataset comes out at 0.0 kJ/mol of atoms. Its crystal system is trigonal. The total energy comes out at -5.7422 eV per atom. Its magnetic moment is 1.06 μB per formula unit.

Sm2TmNi9 | PBE | relaxed

The space group is R-3m (No. 166, hexagonal axes) and the conventional cell measures 4.9421, 4.9421 and 24.5905 Å, with angles of 90.00, 90.00 and 120.00 degrees. Symmetry generates all atoms from Sm at (0.0000, 0.0000, 0.1381), Tm at (0.0000, 0.0000, 0.0000), Ni at (0.0000, 0.0000, 0.3329), Ni at (0.0000, 0.0000, 0.5000) and Ni at (0.0003, 0.5001, 0.0803).

Its crystal system is trigonal. The total energy comes out at -5.7088 eV per atom. Its magnetic moment is 0.68 μB per formula unit.

SmUNi | PBE | relaxed

The space group is F-43m (No. 216) and the conventional cell measures 6.623, 6.623 and 6.623 Å, with angles of 90.00, 90.00 and 90.00 degrees. Symmetry generates all atoms from Sm at (0.000, 0.000, 0.000), U at (0.000, 0.000, 0.500) and Ni at (0.250, 0.250, 0.750).

The excess energy over the best structure of this formula in the dataset comes out at 0.0 kJ/mol of atoms. Its crystal system is cubic. The total energy comes out at -6.6764 eV per atom. Its magnetic moment is 0.64 μB per formula unit.

SmY2Ni9 | PBE | relaxed

The space group is R-3m (No. 166, hexagonal axes) and the conventional cell measures 4.9822, 4.9822 and 24.3953 Å, with angles of 90.00, 90.00 and 120.00 degrees. Symmetry generates all atoms from Sm at (0.0000, 0.0000, 0.0000), Y at (0.0000, 0.0000, 0.1394), Ni at (0.0000, 0.0000, 0.3330), Ni at (0.0000, 0.0000, 0.5000) and Ni at (0.0006, 0.5003, 0.9176).

Its crystal system is trigonal. The total energy comes out at -6.0356 eV per atom. Its magnetic moment is 0.61 μB per formula unit.

SmZnNi | PBE | relaxed

The space group is P-62m (No. 189) and the conventional cell measures 6.9429, 6.9429 and 3.9518 Å, with angles of 90.00, 90.00 and 120.00 degrees. Symmetry generates all atoms from Sm at (0.0000, 0.5872, 0.0000), Zn at (0.0000, 0.2373, 0.5000), Ni at (0.0000, 0.0000, 0.0000) and Ni at (0.3333, 0.6667, 0.5000).

Its crystal system is hexagonal. The total energy comes out at -4.2598 eV per atom. Its magnetic moment is 0.01 μB per formula unit.

SmZnNi | PBE | relaxed

The space group is P-62m (No. 189) and the conventional cell measures 7.7699, 7.7699 and 3.2623 Å, with angles of 90.00, 90.00 and 120.00 degrees. Symmetry generates all atoms from Sm at (0.0000, 0.2943, 0.0000), Zn at (0.0000, 0.0000, 0.5000), Zn at (0.3333, 0.6667, 0.0000) and Ni at (0.0000, 0.6369, 0.5000).

Its crystal system is hexagonal. The total energy comes out at -3.8038 eV per atom. Its magnetic moment is 0.00 μB per formula unit.